No. 1
Here is Ti2FeIr after structural relaxation from Alexandria. Energies are from PBE-GGA.

Values from the calculation:
- formation energy (kJ/mol of atoms) = -61.2
- energy (eV for the cell shown) = -35.7
- space group = P4/mmm (123)
- excess energy over the best structure of this formula in the dataset (meV per atom) = 19

Cell lengths 3.014, 3.014, 6.204 Å; angles 90.00, 90.00, 90.00 degrees
Last column: magnetic moment on the atom in μB.
Fractional coordinates of all 4 atoms:
Ir (0.500, 0.500, 0.500)  0.06
Fe (0.500, 0.500, 0.000)  1.06
Ti (0.000, 0.000, 0.766)  -0.22
Ti (0.000, 0.000, 0.234)  -0.22

No. 2
Here is Ti4FeIr after structural relaxation from Alexandria. Energies are from PBE-GGA.

Values from the calculation:
- formation energy (kJ/mol of atoms) = -19.7
- energy (eV for the cell shown) = -50.1
- space group = C2/m (12)
- excess energy over the best structure of this formula in the dataset (meV per atom) = 259

Cell lengths 4.165, 4.166, 5.990 Å; angles 89.93, 89.96, 90.00 degrees
Fractional coordinates of all 6 atoms:
Ti (0.501, 0.997, 0.262)
Ti (0.501, 0.998, 0.734)
Ti (0.001, 0.498, 0.734)
Ti (0.001, 0.497, 0.262)
Fe (0.001, 0.997, 0.498)
Ir (0.501, 0.497, 0.998)

No. 3
Here is Ti3Fe2Ir after structural relaxation from Alexandria. Energies are from PBE-GGA.

Values from the calculation:
- formation energy (kJ/mol of atoms) = -53.7
- energy (eV for the cell shown) = -52.8
- space group = P4/mmm (123)

Cell lengths 3.007, 3.007, 9.084 Å; angles 90.00, 90.00, 90.00 degrees
Last column: magnetic moment on the atom in μB.
Fractional coordinates of all 6 atoms:
Ti (0.000, 0.000, 0.000)  -0.29
Ti (0.000, 0.000, 0.682)  -0.17
Ti (0.000, 0.000, 0.318)  -0.17
Fe (0.500, 0.500, 0.836)  0.72
Fe (0.500, 0.500, 0.164)  0.72
Ir (0.500, 0.500, 0.500)  0.03

No. 4
Here is Ti6Fe5Ir after structural relaxation from Alexandria. Energies are from PBE-GGA.

Values from the calculation:
- formation energy (kJ/mol of atoms) = -47.1
- energy (eV for the cell shown) = -104.4
- space group = Cmmm (65)

Cell lengths 4.225, 5.981, 6.664 Å; angles 90.00, 71.52, 90.00 degrees
Last column: magnetic moment on the atom in μB.
Fractional coordinates of all 12 atoms:
Ir (0.000, 0.000, 0.000)  0.02
Fe (0.666, 0.500, 0.667)  0.38
Fe (0.333, 0.000, 0.334)  0.31
Fe (0.000, 0.500, 0.000)  0.46
Fe (0.667, 0.000, 0.666)  0.31
Fe (0.334, 0.500, 0.333)  0.38
Ti (0.830, 0.747, 0.341)  -0.15
Ti (0.830, 0.253, 0.341)  -0.15
Ti (0.500, 0.259, 0.000)  -0.14
Ti (0.500, 0.741, 0.000)  -0.14
Ti (0.170, 0.747, 0.659)  -0.15
Ti (0.170, 0.253, 0.659)  -0.15

No. 5
Here is TiFeIr3 after structural relaxation from Alexandria. Energies are from PBE-GGA.

Values from the calculation:
- formation energy (kJ/mol of atoms) = 96.3
- energy (eV for the cell shown) = -38.0
- space group = Pm-3m (221)
- excess energy over the best structure of this formula in the dataset (meV per atom) = 0

Cell lengths 4.454, 4.454, 4.454 Å; angles 90.00, 90.00, 90.00 degrees
Last column: magnetic moment on the atom in μB.
Fractional coordinates of all 5 atoms:
Ir (0.000, 0.500, 0.000)  0.35
Ir (0.000, 0.000, 0.500)  0.44
Ir (0.500, 0.000, 0.000)  0.16
Fe (0.000, 0.000, 0.000)  2.23
Ti (0.500, 0.500, 0.500)  0.55

No. 6
Here is TiFeIr3 after structural relaxation from Alexandria. Energies are from PBE-GGA.

Values from the calculation:
- formation energy (kJ/mol of atoms) = 154.1
- energy (eV for the cell shown) = -35.0
- space group = Pm-3m (221)
- excess energy over the best structure of this formula in the dataset (meV per atom) = 599

Cell lengths 4.531, 4.531, 4.531 Å; angles 90.00, 90.00, 90.00 degrees
Last column: magnetic moment on the atom in μB.
Fractional coordinates of all 5 atoms:
Ir (0.000, 0.500, 0.000)  -0.18
Ir (0.000, 0.000, 0.500)  -0.14
Ir (0.500, 0.000, 0.000)  -0.11
Fe (0.500, 0.500, 0.500)  -0.24
Ti (0.000, 0.000, 0.000)  0.03

No. 7
Here is Ti2Fe2Ir after structural relaxation from Alexandria. Energies are from PBE-GGA.

Values from the calculation:
- formation energy (kJ/mol of atoms) = -28.0
- energy (eV for the cell shown) = -86.0
- space group = P4/mbm (127)
- excess energy over the best structure of this formula in the dataset (meV per atom) = 40

Cell lengths 6.661, 6.661, 3.047 Å; angles 90.00, 90.00, 90.00 degrees
Last column: magnetic moment on the atom in μB.
Fractional coordinates of all 10 atoms:
Ir (0.000, 0.000, 0.000)  0.03
Ir (0.500, 0.500, 0.000)  0.04
Fe (0.386, 0.886, 0.000)  0.68
Fe (0.886, 0.614, 0.000)  0.67
Fe (0.614, 0.114, 0.000)  0.68
Fe (0.114, 0.386, 0.000)  0.67
Ti (0.193, 0.693, 0.500)  -0.22
Ti (0.693, 0.807, 0.500)  -0.23
Ti (0.807, 0.307, 0.500)  -0.22
Ti (0.307, 0.193, 0.500)  -0.23

No. 8
Here is Ti4FeIr after structural relaxation from Alexandria. Energies are from PBE-GGA.

Values from the calculation:
- formation energy (kJ/mol of atoms) = -44.7
- energy (eV for the cell shown) = -51.7
- space group = P4/mmm (123)
- excess energy over the best structure of this formula in the dataset (meV per atom) = 0

Cell lengths 3.028, 3.028, 9.705 Å; angles 90.00, 90.00, 90.00 degrees
Fractional coordinates of all 6 atoms:
Ti (0.500, 0.500, 0.850)
Ti (0.500, 0.500, 0.150)
Ti (0.000, 0.000, 0.667)
Ti (0.000, 0.000, 0.333)
Fe (0.000, 0.000, 0.000)
Ir (0.500, 0.500, 0.500)

No. 9
Here is Ti6Fe2Ir after structural relaxation from Alexandria. Energies are from PBE-GGA.

Values from the calculation:
- formation energy (kJ/mol of atoms) = -32.7
- energy (eV for the cell shown) = -152.4
- space group = Immm (71)

Cell lengths 7.095, 7.095, 7.095 Å; angles 108.68, 110.69, 109.05 degrees
Fractional coordinates of all 18 atoms:
Ti (0.530, 0.712, 0.818)
Ti (0.470, 0.288, 0.182)
Ti (0.105, 0.288, 0.818)
Ti (0.895, 0.712, 0.182)
Ti (0.795, 0.761, 0.556)
Ti (0.205, 0.239, 0.444)
Ti (0.205, 0.761, 0.966)
Ti (0.795, 0.239, 0.034)
Ti (0.723, 0.400, 0.677)
Ti (0.277, 0.600, 0.323)
Ti (0.277, 0.955, 0.677)
Ti (0.723, 0.045, 0.323)
Fe (0.500, 0.349, 0.849)
Fe (0.500, 0.651, 0.151)
Fe (0.643, 0.000, 0.643)
Fe (0.357, 0.000, 0.357)
Ir (0.000, 0.500, 0.500)
Ir (0.000, 0.000, 0.000)

No. 10
Here is Ti5FeIr4 after structural relaxation from Alexandria. Energies are from PBE-GGA.

Values from the calculation:
- formation energy (kJ/mol of atoms) = -69.4
- energy (eV for the cell shown) = -90.6
- space group = P4/mmm (123)

Cell lengths 3.160, 3.160, 14.831 Å; angles 90.00, 90.00, 90.00 degrees
Last column: magnetic moment on the atom in μB.
Fractional coordinates of all 10 atoms:
Ti (0.500, 0.500, 0.094)  -0.18
Ti (0.500, 0.500, 0.296)  0.00
Ti (0.500, 0.500, 0.500)  0.00
Ti (0.500, 0.500, 0.704)  0.00
Ti (0.500, 0.500, 0.906)  -0.18
Fe (0.000, 0.000, 0.000)  1.11
Ir (0.000, 0.000, 0.197)  -0.01
Ir (0.000, 0.000, 0.399)  0.00
Ir (0.000, 0.000, 0.601)  0.00
Ir (0.000, 0.000, 0.803)  -0.01

No. 11
Here is TiFe2Ir2 after structural relaxation from Alexandria. Energies are from PBE-GGA.

Values from the calculation:
- formation energy (kJ/mol of atoms) = -11.2
- energy (eV for the cell shown) = -86.3
- space group = P4/mbm (127)
- excess energy over the best structure of this formula in the dataset (meV per atom) = 74

Cell lengths 7.182, 7.182, 2.754 Å; angles 90.00, 90.00, 90.00 degrees
Last column: magnetic moment on the atom in μB.
Fractional coordinates of all 10 atoms:
Ir (0.367, 0.867, 0.000)  0.13
Ir (0.867, 0.633, 0.000)  0.13
Ir (0.633, 0.133, 0.000)  0.13
Ir (0.133, 0.367, 0.000)  0.13
Fe (0.167, 0.667, 0.500)  2.17
Fe (0.667, 0.833, 0.500)  2.18
Fe (0.833, 0.333, 0.500)  2.17
Fe (0.333, 0.167, 0.500)  2.18
Ti (0.000, 0.000, 0.000)  -0.51
Ti (0.500, 0.500, 0.000)  -0.51

No. 12
Here is Ti2FeIr9 after structural relaxation from Alexandria. Energies are from PBE-GGA.

Values from the calculation:
- formation energy (kJ/mol of atoms) = -47.5
- energy (eV for the cell shown) = -109.9
- space group = P4/mmm (123)

Cell lengths 3.860, 3.860, 11.597 Å; angles 90.00, 90.00, 90.00 degrees
Last column: magnetic moment on the atom in μB.
Fractional coordinates of all 12 atoms:
Ti (0.000, 0.000, 0.332)  0.00
Ti (0.000, 0.000, 0.668)  0.00
Fe (0.000, 0.000, 0.000)  2.73
Ir (0.500, 0.500, 0.000)  0.01
Ir (0.500, 0.500, 0.332)  -0.03
Ir (0.500, 0.500, 0.668)  -0.03
Ir (0.500, 0.000, 0.164)  0.06
Ir (0.500, 0.000, 0.500)  -0.03
Ir (0.500, 0.000, 0.836)  0.06
Ir (0.000, 0.500, 0.164)  0.06
Ir (0.000, 0.500, 0.500)  -0.03
Ir (0.000, 0.500, 0.836)  0.06

Q: What is the formula in the fourth record?
A: Ti6Fe5Ir

Q: What is the energy in the second record?
A: -50.1 eV for the cell shown